Record 1
Mn2InBr6 PBE optimized geometry; space-group type = C2/m (12); uncorrected formation energy = -6.33 eV/f.u.; E above lowest polymorph = 5 meV/atom
1.0
4.178 0.000 0.000
-2.089 6.768 -1.017
0.000 3.068 10.932
Mn In Br
2 1 6
Direct
0.710 0.420 0.770 Mn
0.290 0.580 0.230 Mn
0.000 0.000 0.500 In
0.152 0.304 0.885 Br
0.848 0.696 0.115 Br
0.110 0.220 0.267 Br
0.635 0.270 0.579 Br
0.890 0.780 0.733 Br
0.365 0.730 0.421 Br

Record 2
ZrHg2As PBE optimized geometry; space-group type = I-4m2 (119); formation energy from the elements = -0.08 eV/atom
1.0
-4.719 -1.204 -2.601
-2.005 -4.978 1.298
1.790 4.320 2.936
As Hg Zr
1 2 1
Direct
0.750 0.250 0.500 As
0.000 0.000 0.000 Hg
0.250 0.750 0.500 Hg
0.500 0.500 0.000 Zr

Record 3
TbAsPd PBE optimized geometry; space-group type = Pnma (62); formation energy from the elements = -1.19 eV/atom
1.0
-2.328 -3.198 -1.307
4.313 -0.865 -5.563
4.493 -5.011 4.262
As Tb Pd
4 4 4
Direct
0.750 0.749 0.880 As
0.250 0.251 0.120 As
0.750 0.249 0.620 As
0.250 0.751 0.380 As
0.750 0.471 0.308 Tb
0.250 0.529 0.692 Tb
0.750 0.971 0.192 Tb
0.250 0.029 0.808 Tb
0.750 0.355 0.938 Pd
0.250 0.645 0.062 Pd
0.750 0.855 0.562 Pd
0.250 0.145 0.438 Pd

Record 4
ScUFeRu PBE optimized geometry; space-group type = F-43m (216); formation energy from the elements = -0.15 eV/atom
1.0
4.617 0.000 0.000
2.308 3.998 0.000
2.308 1.333 3.770
Sc Ru U Fe
1 1 1 1
Direct
0.500 0.500 0.500 Sc
0.250 0.250 0.250 Ru
0.000 0.000 0.000 U
0.750 0.750 0.750 Fe

| no. | calculated total energy (eV per atom) | total magnetization (μB/cell) |
| --- | --- | --- |
| 1 | -4.16 | 8.97 |
| 2 | -3.53 | 0.00 |
| 3 | -6.02 | 0.00 |
| 4 | -8.99 | 0.87 |